Entry 1:
Crystalline CdN3Cl at its relaxed geometry. Source: the Alexandria database, functional PBE.

abc: 4.369 4.369 4.369
angles: 90.00 90.00 90.00
Each line ends with the local moment (μB).
Element x y z (fractional)
1 Cl 0.500 0.500 0.500  0.33
2 N 0.000 0.500 0.000  1.34
3 N 0.000 0.000 0.500  1.29
4 Cd 0.000 0.000 0.000  0.10
5 N 0.500 0.000 0.000  1.37

Values from the calculation:
DFT total energy (eV/atom): -2.989
DOS(E_F) (states/eV/f.u.): 4.97



Entry 2:
Crystalline CaPr2Mg9 at its relaxed geometry. Source: the Alexandria database, functional PBE.

abc: 6.142 6.142 10.620
angles: 73.19 73.19 60.00
Element x y z (fractional)
1 Mg 0.500 0.500 0.500
2 Pr 0.145 0.145 0.564
3 Mg 0.414 0.414 0.252
4 Mg 0.334 0.334 0.997
5 Ca 0.000 0.000 0.000
6 Mg 0.586 0.586 0.748
7 Mg 0.081 0.586 0.748
8 Mg 0.666 0.666 0.003
9 Mg 0.414 0.919 0.252
10 Mg 0.919 0.414 0.252
11 Pr 0.855 0.855 0.436
12 Mg 0.586 0.081 0.748

Values from the calculation:
Calculated formation energy (eV/atom): -0.063
DOS(E_F) (states/eV/f.u.): 12.72



Entry 3:
Crystalline DyMnGe2Rh at its relaxed geometry. Source: the Alexandria database, functional PBE.

abc: 4.058 4.058 6.048
angles: 109.60 109.60 90.00
Each line ends with the local moment (μB).
Element x y z (fractional)
1 Mn 0.250 0.750 0.500  3.02
2 Ge 0.383 0.383 0.767  -0.04
3 Ge 0.617 0.617 0.233  -0.04
4 Dy 0.000 0.000 0.000  0.03
5 Rh 0.750 0.250 0.500  0.10

Values from the calculation:
Calculated formation energy (eV/atom): -0.672
DOS(E_F) (states/eV/f.u.): 2.69